Run 1
Material: LiTa2Mn
Method: DFT, meta-GGA SCAN
State: single point on PBEsol structure

Output
* magnetization: 0.0008 μB per atom
* symmetry: I-4m2
* D(E_F): 3.554 states/eV per cell

abc: 5.0037 5.0037 5.0037
angles: 137.12 137.12 62.26
Atoms (fractional coordinates):
Li (0.0000, 0.0000, 0.0000)
Ta (0.2500, 0.7500, 0.5000)
Ta (0.5000, 0.5000, 0.0000)
Mn (0.7500, 0.2500, 0.5000)

Run 2
Material: LiTa2Mn
Method: DFT, meta-GGA SCAN
State: single point on PBEsol structure

Output
* magnetization: 0.0009 μB per atom
* symmetry: P4mm
* D(E_F): 3.221 states/eV per cell

abc: 3.1437 3.1437 5.7750
angles: 90.00 90.00 90.00
Atoms (fractional coordinates):
Li (0.0000, 0.0000, 0.0000)
Ta (0.0000, 0.0000, 0.4466)
Ta (0.5000, 0.5000, 0.7503)
Mn (0.5000, 0.5000, 0.2112)

Q: Which of them is the least stable? A: run 1.